Entry 1:
# GGA-PBE Th2SbSe2O, optimized geometry
# formation energy without anion corrections	-1148	kJ/mol of formula units
data_Th2SbSe2O
_symmetry_space_group_name_H-M 'I b a m'
_symmetry_Int_Tables_number 72
_symmetry_space_group_name_Hall '-I 2 2c'
_cell_length_a 7.852
_cell_length_b 13.488
_cell_length_c 5.798
_cell_angle_alpha 90.00
_cell_angle_beta 90.00
_cell_angle_gamma 90.00
loop_
_atom_site_label
_atom_site_type_symbol
_atom_site_fract_x
_atom_site_fract_y
_atom_site_fract_z
Th1 Th 0.171 0.107 0.000
Sb1 Sb 0.000 0.500 0.250
Se1 Se 0.172 0.191 0.500
O1 O 0.000 0.000 0.250

Entry 2:
# GGA-PBE ScMoBr3, optimized geometry
# offset from the most stable computed form	0.00	eV per formula unit
# formation energy without anion corrections	-51	kJ/mol of formula units
data_ScMoBr3
_symmetry_space_group_name_H-M 'P m -3 m'
_symmetry_Int_Tables_number 221
_symmetry_space_group_name_Hall '-P 4 2 3'
_cell_length_a 5.334
_cell_length_b 5.334
_cell_length_c 5.334
_cell_angle_alpha 90.00
_cell_angle_beta 90.00
_cell_angle_gamma 90.00
loop_
_atom_site_label
_atom_site_type_symbol
_atom_site_fract_x
_atom_site_fract_y
_atom_site_fract_z
Sc1 Sc 0.000 0.000 0.000
Mo1 Mo 0.500 0.500 0.500
Br1 Br 0.000 0.000 0.500

Entry 3:
# GGA-PBE TmHgBiPb, optimized geometry
# energy of formation	-0.189	eV/atom
data_TmHgBiPb
_symmetry_space_group_name_H-M 'F -4 3 m'
_symmetry_Int_Tables_number 216
_symmetry_space_group_name_Hall 'F -4 2 3'
_cell_length_a 7.712
_cell_length_b 7.712
_cell_length_c 7.712
_cell_angle_alpha 90.00
_cell_angle_beta 90.00
_cell_angle_gamma 90.00
loop_
_atom_site_label
_atom_site_type_symbol
_atom_site_fract_x
_atom_site_fract_y
_atom_site_fract_z
Tm1 Tm 0.000 0.000 0.000
Hg1 Hg 0.250 0.250 0.750
Bi1 Bi 0.250 0.250 0.250
Pb1 Pb 0.000 0.000 0.500

Entry 4:
# GGA-PBE TbSbRh4, optimized geometry
# offset from the most stable computed form	0.13	eV per formula unit
# formation energy without anion corrections	-228	kJ/mol of formula units
data_TbSbRh4
_symmetry_space_group_name_H-M 'P m m a'
_symmetry_Int_Tables_number 51
_cell_length_a 7.654
_cell_length_b 4.068
_cell_length_c 6.961
_cell_angle_alpha 90.00
_cell_angle_beta 90.00
_cell_angle_gamma 90.00
loop_
_symmetry_equiv_pos_as_xyz
'x,y,z'
'-x,-y,-z'
'-x+1/2,-y,z'
'x+1/2,y,-z'
'x+1/2,-y,-z'
'-x+1/2,y,z'
'-x,y,-z'
'x,-y,z'
loop_
_atom_site_label
_atom_site_type_symbol
_atom_site_fract_x
_atom_site_fract_y
_atom_site_fract_z
Tb1 Tb 0.250 0.000 0.170
Sb1 Sb 0.250 0.000 0.740
Rh1 Rh 0.000 0.000 0.500
Rh2 Rh 0.040 0.500 0.802
Rh3 Rh 0.250 0.500 0.453

Entry 5:
# GGA-PBE TbHo6Pu, optimized geometry
# offset from the most stable computed form	1.34	eV per formula unit
# energy of formation	0.391	eV/atom
data_TbHo6Pu
_symmetry_space_group_name_H-M 'C 1 2/m 1'
_symmetry_Int_Tables_number 12
_cell_length_a 6.930
_cell_length_b 12.086
_cell_length_c 6.906
_cell_angle_alpha 90.00
_cell_angle_beta 119.50
_cell_angle_gamma 90.00
loop_
_symmetry_equiv_pos_as_xyz
'x,y,z'
'-x,-y,-z'
'-x,y,-z'
'x,-y,z'
'x+1/2,y+1/2,z'
'-x+1/2,-y+1/2,-z'
'-x+1/2,y+1/2,-z'
'x+1/2,-y+1/2,z'
loop_
_atom_site_label
_atom_site_type_symbol
_atom_site_fract_x
_atom_site_fract_y
_atom_site_fract_z
Tb1 Tb 0.000 0.000 0.000
Ho1 Ho 0.234 0.279 0.747
Ho2 Ho 0.236 0.500 0.261
Pu1 Pu 0.000 0.500 0.500

Entry 6:
# GGA-PBE ScNi3H, optimized geometry
# offset from the most stable computed form	4.55	eV per formula unit
data_ScNi3H
_symmetry_space_group_name_H-M 'I -4 m 2'
_symmetry_Int_Tables_number 119
_symmetry_space_group_name_Hall 'I -4 -2'
_cell_length_a 4.218
_cell_length_b 4.218
_cell_length_c 17.889
_cell_angle_alpha 90.00
_cell_angle_beta 90.00
_cell_angle_gamma 90.00
loop_
_atom_site_label
_atom_site_type_symbol
_atom_site_fract_x
_atom_site_fract_y
_atom_site_fract_z
Sc1 Sc 0.000 0.000 0.000
Sc2 Sc 0.000 0.500 0.250
Ni1 Ni 0.000 0.000 0.380
Ni2 Ni 0.000 0.245 0.125
H1 H 0.000 0.500 0.617